A geometry-optimized Pm4HoErSe8 structure, computed with GGA-PBE.

a = 8.544 Å, b = 8.544 Å, c = 8.544 Å
α = 60.09°, β = 60.09°, γ = 60.09°
Fractional positions:
Pm 0.000 0.000 0.000
Pm 0.377 0.377 0.872
Pm 0.377 0.872 0.377
Pm 0.872 0.377 0.377
Ho 0.377 0.377 0.377
Er 0.752 0.752 0.752
Se 0.133 0.133 0.133
Se 0.140 0.140 0.598
Se 0.140 0.598 0.140
Se 0.141 0.616 0.616
Se 0.598 0.140 0.140
Se 0.616 0.141 0.616
Se 0.616 0.616 0.141
Se 0.623 0.623 0.623

Output
DOS at the Fermi energy: 0.62 states/eV/atom
E_tot: -5.723 eV/atom
volume: 441.9 Å³/f.u.
total magnetization: 0.00 μB per cell